Material: CeSnO4
Method: DFT, GGA-PBE
State: relaxed

The value obtained for the size of the total moment is 0.00 μB/f.u. The value obtained for the total energy is -0.53835 Ry per atom. Its crystal system is trigonal. The polymorph energy (0 for the lowest one) is 0.0 meV/atom.

The structure belongs to space group R-3m (No. 166, hexagonal axes); the cell edges are 3.7347, 3.7347 and 18.7478 Å and the angles 90.00°, 90.00° and 120.00°. The asymmetric unit holds Ce at (0.0000, 0.0000, 0.0000), Sn at (0.0000, 0.0000, 0.5000), O at (0.0000, 0.0000, 0.1297) and O at (0.0000, 0.0000, 0.3796).